No. 1
Below is a relaxed structure of Ac2MgNi4Sb3, with properties calculated at the PBE-GGA level.

a b c (Å): 4.503 4.503 10.397
angles (deg): 90.00 90.00 90.00
Space group P-4m2 (No. 115)
Unique sites:
Ac (0.000, 0.500, 0.237)
Mg (0.000, 0.000, 0.500)
Ni (0.000, 0.000, 0.000)
Ni (0.000, 0.500, 0.628)
Ni (0.500, 0.500, 0.000)
Sb (0.000, 0.500, 0.875)
Sb (0.500, 0.500, 0.500)

Output
**E_form (uncorrected)**: -6.2 eV/f.u.
**Calculated volume**: 210.80 Å³/cell


No. 2
Below is a relaxed structure of AcMgSi2Ni2, with properties calculated at the PBE-GGA level.

a b c (Å): 4.1494 4.1494 7.2411
angles (deg): 90.00 90.00 120.00
Space group P-3m1 (No. 164)
Unique sites:
Ac (0.0000, 0.0000, 0.0000)
Mg (0.0000, 0.0000, 0.5000)
Si (0.3333, 0.6667, 0.3047)
Ni (0.3333, 0.6667, 0.6474)

Output
**E_form (uncorrected)**: -3.4 eV/f.u.
**Calculated volume**: 107.97 Å³/cell


No. 3
Below is a relaxed structure of Ac2MgSi3Ni12, with properties calculated at the PBE-GGA level.

a b c (Å): 8.6468 8.6468 12.0359
angles (deg): 90.00 90.00 120.00
Space group R-3m (No. 166, hexagonal axes)
Unique sites:
Ac (0.0000, 0.0000, 0.1430)
Mg (0.0000, 0.0000, 0.5000)
Si (0.0000, 0.5000, 0.0000)
Ni (0.0117, 0.5058, 0.1895)
Ni (0.0237, 0.5118, 0.3876)

Output
**E_form (uncorrected)**: -1.0 eV/f.u.
**Calculated volume**: 779.32 Å³/cell


No. 4
Below is a relaxed structure of AcMgSi2Ni, with properties calculated at the PBE-GGA level.

a b c (Å): 4.293 4.293 10.644
angles (deg): 90.00 90.00 90.00
Space group I-4m2 (No. 119)
Unique sites:
Ac (0.000, 0.000, 0.000)
Mg (0.000, 0.500, 0.250)
Si (0.000, 0.000, 0.383)
Ni (0.000, 0.500, 0.750)

Output
**E_form (uncorrected)**: -2.5 eV/f.u.
**Calculated volume**: 196.17 Å³/cell


No. 5
Below is a relaxed structure of Ac2Mg2Si4Ni, with properties calculated at the PBE-GGA level.

a b c (Å): 6.590 6.590 8.925
angles (deg): 90.00 90.00 90.00
Space group I4/mmm (No. 139)
Unique sites:
Ac (0.000, 0.500, 0.250)
Mg (0.000, 0.000, 0.191)
Si (0.246, 0.246, 0.000)
Ni (0.000, 0.000, 0.500)

Output
**E_form (uncorrected)**: -2.6 eV/f.u.
**Calculated volume**: 387.55 Å³/cell


No. 6
Below is a relaxed structure of Ac2MgSi3Ni4, with properties calculated at the PBE-GGA level.

a b c (Å): 4.215 4.215 10.042
angles (deg): 90.00 90.00 90.00
Space group P-4m2 (No. 115)
Unique sites:
Ac (0.000, 0.500, 0.243)
Mg (0.000, 0.000, 0.500)
Si (0.000, 0.500, 0.885)
Si (0.500, 0.500, 0.500)
Ni (0.000, 0.000, 0.000)
Ni (0.000, 0.500, 0.642)
Ni (0.500, 0.500, 0.000)

Output
**E_form (uncorrected)**: -5.7 eV/f.u.
**Calculated volume**: 178.38 Å³/cell


No. 7
Below is a relaxed structure of Ac2MgSi4Ni3, with properties calculated at the PBE-GGA level.

a b c (Å): 4.243 4.243 10.256
angles (deg): 90.00 90.00 90.00
Space group P-4m2 (No. 115)
Unique sites:
Ac (0.000, 0.500, 0.239)
Mg (0.000, 0.000, 0.500)
Si (0.000, 0.000, 0.000)
Si (0.000, 0.500, 0.647)
Si (0.500, 0.500, 0.000)
Ni (0.000, 0.500, 0.890)
Ni (0.500, 0.500, 0.500)

Output
**E_form (uncorrected)**: -5.8 eV/f.u.
**Calculated volume**: 184.63 Å³/cell


No. 8
Below is a relaxed structure of AcMgSiNi3, with properties calculated at the PBE-GGA level.

a b c (Å): 6.582 11.891 5.783
angles (deg): 90.00 90.00 90.00
Space group Cmcm (No. 63)
Unique sites:
Ac (0.000, 0.215, 0.250)
Mg (0.000, 0.495, 0.250)
Si (0.000, 0.106, 0.750)
Ni (0.000, 0.294, 0.750)
Ni (0.188, 0.000, 0.000)

Output
**E_form (uncorrected)**: -1.3 eV/f.u.
**Calculated volume**: 452.63 Å³/cell


No. 9
Below is a relaxed structure of Ac2Mg2NiSn4, with properties calculated at the PBE-GGA level.

a b c (Å): 7.110 7.110 9.479
angles (deg): 90.00 90.00 90.00
Space group I4/mmm (No. 139)
Unique sites:
Ac (0.000, 0.500, 0.250)
Mg (0.000, 0.000, 0.220)
Ni (0.000, 0.000, 0.500)
Sn (0.239, 0.239, 0.000)

Output
**Formation energy**: -42.6 kJ per mole of atoms
**Calculated volume**: 479.15 Å³/cell


No. 10
Below is a relaxed structure of Ac2MgNi4Sn3, with properties calculated at the PBE-GGA level.

a b c (Å): 4.524 4.524 10.480
angles (deg): 90.00 90.00 90.00
Space group P-4m2 (No. 115)
Unique sites:
Ac (0.000, 0.500, 0.241)
Mg (0.000, 0.000, 0.500)
Ni (0.000, 0.000, 0.000)
Ni (0.000, 0.500, 0.632)
Ni (0.500, 0.500, 0.000)
Sn (0.000, 0.500, 0.879)
Sn (0.500, 0.500, 0.500)

Output
**Formation energy**: -45.7 kJ per mole of atoms
**Calculated volume**: 214.53 Å³/cell


No. 11
Below is a relaxed structure of AcMgNiSn2, with properties calculated at the PBE-GGA level.

a b c (Å): 4.572 4.572 11.777
angles (deg): 90.00 90.00 90.00
Space group I-4m2 (No. 119)
Unique sites:
Ac (0.000, 0.000, 0.000)
Mg (0.000, 0.500, 0.750)
Ni (0.000, 0.500, 0.250)
Sn (0.000, 0.000, 0.376)

Output
**Formation energy**: -42.1 kJ per mole of atoms
**Calculated volume**: 246.15 Å³/cell


No. 12
Below is a relaxed structure of Ac2MgZn6Ni, with properties calculated at the PBE-GGA level.

a b c (Å): 6.570 6.572 6.926
angles (deg): 62.22 62.03 60.16
Space group P-1 (No. 2)
Unique sites:
Ac (0.207, 0.206, 0.375)
Mg (0.500, 0.500, 0.500)
Zn (0.240, 0.654, 0.865)
Zn (0.243, 0.240, 0.858)
Zn (0.343, 0.758, 0.138)
Ni (0.000, 0.000, 0.000)

Output
**Formation energy**: -19.3 kJ per mole of atoms
**Calculated volume**: 218.28 Å³/cell


calculated volume of number 6 (Ac2MgSi3Ni4)?
178.38 Å³/cell


Number 4 is which compound?
AcMgSi2Ni


Among the records above, which one has the lowest calculated volume?
AcMgSi2Ni2


Among the records above, which one has the lowest calculated volume?
AcMgSi2Ni2